## AcScW2N6 (GGA-PBE)

Data for AcScW2N6 after structural relaxation.

a b c (Å): 10.8991 10.7628 6.5756
angles (deg): 90.00 114.28 90.00
Space group C2/c (No. 15)
Unique sites:
Ac1 0.0000 0.1097 0.2500
Sc1 0.0000 0.2421 0.7500
W1 0.1986 0.4186 0.1944
N1 0.1114 0.2713 0.0979
N2 0.1152 0.1076 0.6815
N3 0.1634 0.4812 0.4394

Values from the calculation:
Total moment (μB/atom): 0.0000
Crystal system: monoclinic
DFT total energy (eV/cell): -380.70

=====

## Ac4PmZn (GGA-PBE)

Data for Ac4PmZn after structural relaxation.

a b c (Å): 3.9241 3.9241 14.8904
angles (deg): 90.00 90.00 90.00
Space group P4/mmm (No. 123)
Unique sites:
Ac1 0.0000 0.0000 0.1297
Ac2 0.5000 0.5000 0.3255
Pm1 0.0000 0.0000 0.5000
Zn1 0.5000 0.5000 0.0000

Values from the calculation:
Total moment (μB/atom): 0.0000
Crystal system: tetragonal
DFT formation energy (eV/atom): -0.067
DFT total energy (eV/cell): -22.86

=====

## LiSeNO2 (GGA-PBE)

Data for LiSeNO2 after structural relaxation.

a b c (Å): 3.8440 3.8440 3.6933
angles (deg): 90.00 90.00 90.00
Space group P4/mmm (No. 123)
Unique sites:
Li1 0.0000 0.0000 0.0000
Se1 0.5000 0.5000 0.5000
N1 0.5000 0.5000 0.0000
O1 0.0000 0.5000 0.5000

Values from the calculation:
Total moment (μB/atom): 0.0132
Crystal system: tetragonal
DFT total energy (eV/cell): -22.85

=====

## Cs3Pa5Se12 (GGA-PBE)

Data for Cs3Pa5Se12 after structural relaxation.

a b c (Å): 18.3708 18.3708 18.3708
angles (deg): 90.00 90.00 90.00
Space group Ia-3d (No. 230)
Unique sites:
Cs1 0.0000 0.2500 0.1250
Pa1 0.0000 0.0000 0.0000
Pa2 0.0000 0.2500 0.3750
Se1 0.0351 0.0482 0.6421

Values from the calculation:
Total moment (μB/atom): 0.2020
Crystal system: cubic
DFT total energy (eV/cell): -922.20